VASP calculation (meta-GGA SCAN) on a PBEsol-optimized structure of FeSi2Br.

Unit cell a=4.472 b=4.472 c=4.472 alpha=60.00 beta=60.00 gamma=60.00
Element x y z (fractional)
Fe1 0.000 0.000 0.000
Si1 0.250 0.250 0.250
Si2 0.750 0.750 0.750
Br1 0.500 0.500 0.500

Its crystal system is cubic. The density of states at the Fermi level is 0.775 states/eV/atom. As for the volume: 63.2 Å³/cell. For the electronic total energy, the calculation gives -53.29 eV for the cell shown. As for the energy relative to the elements, uncorrected: 1.081 eV per atom. The value obtained for the total magnetic moment is 2.50 μB/cell. As for the symmetry: Fm-3m.